No. 1
ZrAsAu | GGA-PBE | optimized geometry

Cell lengths 5.5591, 5.5591, 6.1312 Å; angles 103.13, 103.13, 39.51 degrees
Sites, in units of the cell vectors:
Zr: 0.1256 0.1256 0.3012
Zr: 0.8744 0.8744 0.6988
As: 0.5000 0.5000 0.0000
As: 0.5000 0.5000 0.5000
Au: 0.1856 0.1856 0.8120
Au: 0.8144 0.8144 0.1880

spin magnetization	0.00	μB/f.u.
final energy	-6.0664	eV/atom

---

No. 2
CdReTe2N | GGA-PBE | optimized geometry

Cell lengths 5.5103, 5.5103, 3.7458 Å; angles 90.00, 90.00, 90.00 degrees
Sites, in units of the cell vectors:
Cd: 0.0000 0.0000 0.0000
Re: 0.5000 0.5000 0.5000
Te: 0.0000 0.5000 0.5000
Te: 0.5000 0.0000 0.5000
N: 0.5000 0.5000 0.0000

spin magnetization	0.00	μB/f.u.
raw formation energy	1.316	eV per formula unit

---

No. 3
Rb2ReHgI6 | GGA-PBE | optimized geometry

Cell lengths 8.6638, 8.6638, 8.6638 Å; angles 60.00, 60.00, 60.00 degrees
Sites, in units of the cell vectors:
Rb: 0.2500 0.2500 0.2500
Rb: 0.7500 0.7500 0.7500
Re: 0.0000 0.0000 0.0000
Hg: 0.5000 0.5000 0.5000
I: 0.2248 0.2248 0.7752
I: 0.2248 0.7752 0.2248
I: 0.2248 0.7752 0.7752
I: 0.7752 0.2248 0.2248
I: 0.7752 0.2248 0.7752
I: 0.7752 0.7752 0.2248

spin magnetization	3.00	μB/f.u.
raw formation energy	-5.348	eV per formula unit

---

No. 4
LaZn2Pt3 | GGA-PBE | optimized geometry

Cell lengths 6.9893, 6.9893, 5.5308 Å; angles 90.00, 90.00, 115.10 degrees
Sites, in units of the cell vectors:
La: 0.1956 0.8044 0.7500
La: 0.8044 0.1956 0.2500
Zn: 0.3205 0.3205 0.0000
Zn: 0.3205 0.3205 0.5000
Zn: 0.6795 0.6795 0.0000
Zn: 0.6795 0.6795 0.5000
Pt: 0.0270 0.3406 0.7500
Pt: 0.3406 0.0270 0.2500
Pt: 0.3522 0.6478 0.2500
Pt: 0.6478 0.3522 0.7500
Pt: 0.6594 0.9730 0.7500
Pt: 0.9730 0.6594 0.2500

spin magnetization	0.00	μB/f.u.
final energy	-4.8975	eV/atom

---

- What is the spin magnetization in the second record?
  0.00 μB/f.u.